Material: Nb2NiI
Method: DFT, PBE
State: relaxed

Results
Energy above the most stable polymorph in this dataset (kJ/mol of formula units): 0
ΔE_f (raw) (eV/atom): 0.49
V (Å³/cell): 279.3
M_tot (μB/cell): 0.00

The structure in CIF format:
```
data_Nb2NiI
_space_group_name_H-M_alt 'F m -3 m'
_space_group_IT_number 225
_space_group_name_Hall '-F 4 2 3'
_cell_length_a 6.537
_cell_length_b 6.537
_cell_length_c 6.537
_cell_angle_alpha 90.00
_cell_angle_beta 90.00
_cell_angle_gamma 90.00
loop_
_atom_site_label
_atom_site_type_symbol
_atom_site_fract_x
_atom_site_fract_y
_atom_site_fract_z
Nb1 Nb 0.250 0.250 0.250
Ni1 Ni 0.000 0.000 0.000
I1 I 0.000 0.000 0.500
```


Material: LiPmHg3
Method: DFT, PBE
State: relaxed

Results
Energy above the most stable polymorph in this dataset (kJ/mol of formula units): 0
V (Å³/cell): 353.8
M_tot (μB/cell): 0.00

The structure in CIF format:
```
data_LiPmHg3
_space_group_name_H-M_alt 'P m -3 m'
_space_group_IT_number 221
_space_group_name_Hall '-P 4 2 3'
_cell_length_a 7.073
_cell_length_b 7.073
_cell_length_c 7.073
_cell_angle_alpha 90.00
_cell_angle_beta 90.00
_cell_angle_gamma 90.00
loop_
_atom_site_label
_atom_site_type_symbol
_atom_site_fract_x
_atom_site_fract_y
_atom_site_fract_z
Li1 Li 0.000 0.000 0.500
Pm1 Pm 0.000 0.500 0.500
Hg1 Hg 0.218 0.218 0.218
Hg2 Hg 0.500 0.500 0.500
```